[1]
Compound: Ta2ReMo
Source: the Alexandria database
Functional: PBE-GGA
Structure: relaxed

Lattice parameters (Å, degrees): 3.2103 4.6469 8.9257 90.00 90.00 90.00
Closest atoms and distances in Å follow each position.
Space group Cmmm (No. 65)
Symmetry-distinct sites (fractional):
Ta1 0.0000 0.0000 0.2473 x4  2 Re 2.73, 2 Mo 2.77, 4 Ta 2.82
Re1 0.0000 0.5000 0.0000 x2  4 Ta 2.73, 4 Re 2.82
Mo1 0.0000 0.5000 0.5000 x2  4 Ta 2.77, 4 Mo 2.82

Properties
The total energy is -0.43800 Ha/atom. The calculation puts the formation energy from the elements at -0.17 eV/atom.

---

[2]
Compound: PdAuOF2
Source: the Alexandria database
Functional: PBE-GGA
Structure: relaxed

Lattice parameters (Å, degrees): 4.0652 4.0652 5.6130 90.00 90.00 90.00
Closest atoms and distances in Å follow each position.
Space group P4/mmm (No. 123)
Symmetry-distinct sites (fractional):
Pd1 0.0000 0.0000 0.0000 x1  2 Au 2.81, 4 O 2.87
Au1 0.0000 0.0000 0.5000 x1  4 F 2.03
O1 0.5000 0.5000 0.0000 x1  4 Pd 2.87
F1 0.0000 0.5000 0.5000 x2  2 Au 2.03

Properties
The value obtained for the uncorrected formation energy is 0.187 eV/atom. The total energy is -0.11934 Ha/atom.

---

[3]
Compound: CsTe2AsI
Source: the Alexandria database
Functional: PBE-GGA
Structure: relaxed

Lattice parameters (Å, degrees): 6.4218 6.4218 6.7827 90.00 90.00 90.00
Closest atoms and distances in Å follow each position.
Space group P4/mmm (No. 123)
Symmetry-distinct sites (fractional):
Cs1 0.0000 0.0000 0.0000 x1  4 Te 3.21, 2 I 3.39
Te1 0.0000 0.5000 0.0000 x2  2 Cs 3.21
As1 0.5000 0.5000 0.5000 x1  4 I 4.54, 8 Te 4.67
I1 0.0000 0.0000 0.5000 x1  2 Cs 3.39

Properties
The value obtained for the uncorrected formation energy is 1.221 eV/atom. The total energy is -0.05313 Ha/atom.

---

[4]
Compound: LiRuBr6
Source: the Alexandria database
Functional: PBE-GGA
Structure: relaxed

Lattice parameters (Å, degrees): 6.5703 6.5703 17.4937 90.00 90.00 120.00
Closest atoms and distances in Å follow each position.
Space group R-3 (No. 148, hexagonal axes)
Symmetry-distinct sites (fractional):
Li1 0.0000 0.0000 0.0000 x3  6 Br 2.76
Ru1 0.0000 0.0000 0.5000 x3  6 Br 2.49
Br1 0.0107 0.3172 0.4191 x18  1 Ru 2.49, 1 Li 2.76

Properties
The value obtained for the uncorrected formation energy is -0.441 eV/atom. The total energy is -0.11373 Ha/atom.

---

[5]
Compound: BaIn9Rh2
Source: the Alexandria database
Functional: PBE-GGA
Structure: relaxed

Lattice parameters (Å, degrees): 12.2421 12.2421 7.7195 90.00 90.00 90.00
Closest atoms and distances in Å follow each position.
Space group I4_1/amd (No. 141, origin choice 2)
Symmetry-distinct sites (fractional):
Ba1 0.0000 0.2500 0.3750 x4  18 In 3.65-4.09
In1 0.0000 0.2500 0.8750 x4  8 In 3.14, 4 Rh 3.21
In2 0.1208 0.0589 0.6839 x32  2 Rh 2.87-2.94, 6 In 2.96-3.19
Rh1 0.0000 0.0000 0.0000 x8  10 In 2.87-3.21

Properties
The total energy is -0.13448 Ha/atom. The calculation puts the formation energy from the elements at -0.22 eV/atom.

---

[6]
Compound: Tb3Pm6HoTm2
Source: the Alexandria database
Functional: PBE-GGA
Structure: relaxed

Lattice parameters (Å, degrees): 6.2319 10.7925 11.8102 90.00 100.10 90.00
Closest atoms and distances in Å follow each position.
Space group C2/m (No. 12)
Symmetry-distinct sites (fractional):
Tb1 0.0000 0.0000 0.0000 x2  6 Pm 3.59, 6 Tb 3.60
Tb2 0.0000 0.3332 0.0000 x4  6 Pm 3.59, 6 Tb 3.60
Pm1 0.2496 0.0000 0.7482 x4  1 Ho 3.55, 2 Tm 3.56, 3 Tb 3.59, 6 Pm 3.60
Pm2 0.2500 0.1668 0.2518 x8  2 Tm 3.55-3.56, 1 Ho 3.56, 3 Tb 3.59, 6 Pm 3.60
Ho1 0.0000 0.5000 0.5000 x2  6 Pm 3.55-3.56, 6 Tm 3.60
Tm1 0.0000 0.1667 0.5000 x4  6 Pm 3.55-3.56, 3 Ho 3.60, 3 Tm 3.60

Properties
The total energy is -0.17075 Ha/atom. The calculation puts the formation energy from the elements at 0.01 eV/atom.

---

[7]
Compound: ZrCdRu2
Source: the Alexandria database
Functional: PBE-GGA
Structure: relaxed

Lattice parameters (Å, degrees): 3.2656 4.8898 8.7963 90.00 90.00 90.00
Closest atoms and distances in Å follow each position.
Space group Cmmm (No. 65)
Symmetry-distinct sites (fractional):
Zr1 0.0000 0.0000 0.0000 x2  4 Ru 2.65, 4 Zr 2.94
Cd1 0.0000 0.0000 0.5000 x2  4 Ru 2.83, 4 Cd 2.94
Ru1 0.0000 0.5000 0.2369 x4  2 Zr 2.65, 2 Cd 2.83, 4 Ru 2.94

Properties
The total energy is -0.25376 Ha/atom. The calculation puts the formation energy from the elements at 0.10 eV/atom.

---

[8]
Compound: Hf2MgN
Source: the Alexandria database
Functional: PBE-GGA
Structure: relaxed

Lattice parameters (Å, degrees): 6.6567 6.6567 7.1848 90.00 90.00 90.00
Closest atoms and distances in Å follow each position.
Space group I-42d (No. 122)
Symmetry-distinct sites (fractional):
Hf1 0.1307 0.2500 0.1250 x8  2 N 2.08
Mg1 0.0000 0.0000 0.5000 x4  8 Hf 3.10-3.28
N1 0.0000 0.0000 0.0000 x4  4 Hf 2.08

Properties
The value obtained for the uncorrected formation energy is -0.329 eV/atom. The total energy is -0.28613 Ha/atom.

---

[9]
Compound: DyBe2Rh
Source: the Alexandria database
Functional: PBE-GGA
Structure: relaxed

Lattice parameters (Å, degrees): 3.8590 3.8590 14.5240 90.00 90.00 120.00
Closest atoms and distances in Å follow each position.
Space group R-3m (No. 166, hexagonal axes)
Symmetry-distinct sites (fractional):
Dy1 0.0000 0.0000 0.0000 x3  8 Be 2.86-2.98
Be1 0.0000 0.0000 0.1968 x6  3 Rh 2.27, 3 Be 2.39
Rh1 0.0000 0.0000 0.5000 x3  6 Be 2.27

Properties
The total energy is -0.19501 Ha/atom. The calculation puts the formation energy from the elements at -0.46 eV/atom.

---

[10]
Compound: SrBi2TeO6
Source: the Alexandria database
Functional: PBE-GGA
Structure: relaxed

Lattice parameters (Å, degrees): 6.2447 6.2447 15.9190 90.00 90.00 120.00
Closest atoms and distances in Å follow each position.
Space group R3 (No. 146, hexagonal axes)
Symmetry-distinct sites (fractional):
Sr1 0.0000 0.0000 0.0000 x3  6 O 2.51-2.62
Bi1 0.0000 0.0000 0.2584 x3  3 O 2.25
Bi2 0.0000 0.0000 0.7889 x3  3 O 2.23
Te1 0.0000 0.0000 0.4674 x3  3 O 1.95
O1 0.0377 0.4100 0.5433 x9  2 Bi 2.23-2.25
O2 0.0878 0.6832 0.0632 x9  1 Te 1.95

Properties
The value obtained for the uncorrected formation energy is -1.515 eV/atom. The total energy is -0.21125 Ha/atom.

---

[11]
Compound: In2Ga2Pb
Source: the Alexandria database
Functional: PBE-GGA
Structure: relaxed

Lattice parameters (Å, degrees): 3.8504 3.8504 17.4627 90.00 90.00 90.00
Closest atoms and distances in Å follow each position.
Space group I4/mmm (No. 139)
Symmetry-distinct sites (fractional):
In1 0.0000 0.0000 0.1133 x4  4 Ga 3.07, 4 Pb 3.37
Ga1 0.0000 0.5000 0.2500 x4  4 Ga 2.72
Pb1 0.0000 0.0000 0.5000 x2  8 In 3.37

Properties
The total energy is -0.10919 Ha/atom. The calculation puts the formation energy from the elements at 0.08 eV/atom.

---

[12]
Compound: Cs3CaY2Se6
Source: the Alexandria database
Functional: PBE-GGA
Structure: relaxed

Lattice parameters (Å, degrees): 7.4685 12.9362 8.7319 90.00 106.55 90.00
Closest atoms and distances in Å follow each position.
Space group C2/m (No. 12)
Symmetry-distinct sites (fractional):
Cs1 0.0000 0.0000 0.0000 x2  6 Se 3.57-3.64
Cs2 0.0000 0.3364 0.0000 x4  6 Se 3.58-3.64
Ca1 0.0000 0.5000 0.5000 x2  6 Se 3.00-3.01
Y1 0.0000 0.1670 0.5000 x4  6 Se 2.91
Se1 0.2183 0.0000 0.6856 x4  2 Y 2.91, 1 Ca 3.00
Se2 0.2343 0.3281 0.6871 x8  2 Y 2.91, 1 Ca 3.01

Properties
The value obtained for the uncorrected formation energy is -1.585 eV/atom. The total energy is -0.17585 Ha/atom.

---

[13]
Compound: CoSeBr2
Source: the Alexandria database
Functional: PBE-GGA
Structure: relaxed

Lattice parameters (Å, degrees): 3.1962 6.3113 11.2930 90.00 90.00 90.00
Closest atoms and distances in Å follow each position.
Space group Immm (No. 71)
Symmetry-distinct sites (fractional):
Co1 0.0000 0.0000 0.0000 x2  4 Br 2.32
Se1 0.0000 0.0000 0.5000 x2  2 Se 3.20, 4 Co 3.54, 4 Br 3.58
Br1 0.0000 0.5000 0.3510 x4  2 Co 2.32

Properties
The value obtained for the uncorrected formation energy is 0.307 eV/atom. The total energy is -0.11675 Ha/atom.

---

[14]
Compound: TbDyGe2Pt5
Source: the Alexandria database
Functional: PBE-GGA
Structure: relaxed

Lattice parameters (Å, degrees): 4.2535 4.2535 9.0606 90.00 90.00 90.00
Closest atoms and distances in Å follow each position.
Space group P4/mmm (No. 123)
Symmetry-distinct sites (fractional):
Tb1 0.0000 0.0000 0.0000 x1  12 Pt 2.96-3.01
Dy1 0.0000 0.0000 0.5000 x1  8 Ge 3.24, 8 Pt 3.26
Ge1 0.5000 0.5000 0.3664 x2  1 Ge 2.42, 4 Pt 2.47
Pt1 0.0000 0.5000 0.2268 x4  2 Ge 2.47
Pt2 0.5000 0.5000 0.0000 x1  8 Pt 2.96, 4 Tb 3.01

Properties
The total energy is -0.23340 Ha/atom. The calculation puts the formation energy from the elements at -0.94 eV/atom.

---

[15]
Compound: Na2Ga5Ag3
Source: the Alexandria database
Functional: PBE-GGA
Structure: relaxed

Lattice parameters (Å, degrees): 10.3799 13.7511 5.8328 90.00 90.00 90.00
Closest atoms and distances in Å follow each position.
Space group Ibam (No. 72)
Symmetry-distinct sites (fractional):
Na1 0.2268 0.1510 0.0000 x8  10 Ga 3.17-3.52, 4 Ag 3.19-3.37
Ga1 0.0000 0.0000 0.2500 x4  4 Ag 2.68, 2 Ga 2.92
Ga2 0.0000 0.3026 0.2500 x8  3 Ag 2.67-2.71, 4 Ga 2.75-2.92
Ga3 0.1798 0.4046 0.0000 x8  3 Ag 2.60-2.71, 2 Ga 2.75
Ag1 0.0000 0.5000 0.2500 x4  6 Ga 2.71, 2 Ag 2.92
Ag2 0.0809 0.1517 0.5000 x8  5 Ga 2.60-2.68

Properties
The total energy is -0.09916 Ha/atom. The calculation puts the formation energy from the elements at -0.07 eV/atom.

---

[16]
Compound: Li2Ni
Source: the Alexandria database
Functional: PBE-GGA
Structure: relaxed

Lattice parameters (Å, degrees): 6.6142 6.6142 6.6142 90.00 90.00 90.00
Closest atoms and distances in Å follow each position.
Space group Fd-3m (No. 227, origin choice 2)
Symmetry-distinct sites (fractional):
Li1 0.0000 0.0000 0.0000 x16  6 Li 2.34
Ni1 0.1250 0.1250 0.6250 x8  12 Li 2.74, 4 Ni 2.86

Properties
The total energy is -0.10804 Ha/atom. The calculation puts the formation energy from the elements at 0.26 eV/atom.

---

[17]
Compound: Cu4RuCl
Source: the Alexandria database
Functional: PBE-GGA
Structure: relaxed

Lattice parameters (Å, degrees): 6.9435 6.9435 6.9435 90.00 90.00 90.00
Closest atoms and distances in Å follow each position.
Space group F-43m (No. 216)
Symmetry-distinct sites (fractional):
Cu1 0.1243 0.1243 0.1243 x16  6 Cu 2.44-2.47
Ru1 0.2500 0.2500 0.7500 x4  12 Cu 2.88, 4 Cl 3.01
Cl1 0.0000 0.0000 0.5000 x4  12 Cu 2.88, 4 Ru 3.01

Properties
The value obtained for the uncorrected formation energy is 0.583 eV/atom. The total energy is -0.14706 Ha/atom.

---

[18]
Compound: Ca2LaPbO
Source: the Alexandria database
Functional: PBE-GGA
Structure: relaxed

Lattice parameters (Å, degrees): 4.9288 4.9288 5.0573 90.00 90.00 90.00
Closest atoms and distances in Å follow each position.
Space group P4/mmm (No. 123)
Symmetry-distinct sites (fractional):
Ca1 0.0000 0.5000 0.0000 x2  2 O 2.46
La1 0.0000 0.0000 0.5000 x1  2 O 2.53
Pb1 0.5000 0.5000 0.5000 x1  4 La 3.49, 8 Ca 3.53
O1 0.0000 0.0000 0.0000 x1  4 Ca 2.46, 2 La 2.53

Properties
The value obtained for the uncorrected formation energy is -1.455 eV/atom. The total energy is -0.18280 Ha/atom.

---

[19]
Compound: NdCo2B
Source: the Alexandria database
Functional: PBE-GGA
Structure: relaxed

Lattice parameters (Å, degrees): 5.1327 9.4911 4.9807 90.00 90.00 90.00
Closest atoms and distances in Å follow each position.
Space group Cmme (No. 67)
Symmetry-distinct sites (fractional):
Nd1 0.0000 0.2500 0.2473 x4  4 Co 2.78-3.07, 4 B 2.97
Co1 0.0000 0.0419 0.7190 x8  2 B 1.94
B1 0.2500 0.0000 0.0000 x4  4 Co 1.94

Properties
The total energy is -0.24040 Ha/atom. The calculation puts the formation energy from the elements at -0.13 eV/atom.

---

[20]
Compound: SrSi2Au
Source: the Alexandria database
Functional: PBE-GGA
Structure: relaxed

Lattice parameters (Å, degrees): 4.2322 4.2662 5.3816 90.00 98.29 90.00
Closest atoms and distances in Å follow each position.
Space group P2/m (No. 10)
Symmetry-distinct sites (fractional):
Sr1 0.0000 0.0000 0.0000 x1  2 Au 3.17, 4 Si 3.21
Si1 0.2656 0.5000 0.6356 x2  2 Si 2.50-2.63, 2 Au 2.51
Au1 0.5000 0.0000 0.5000 x1  4 Si 2.51

Properties
The value obtained for the uncorrected formation energy is -0.333 eV/atom. The total energy is -0.15744 Ha/atom.